(1)
Below is an optimized crystal structure of SrCaPmMg, with properties calculated at the PBE-GGA level.

Unit cell a=5.9074 b=5.9074 c=5.9074 alpha=60.00 beta=60.00 gamma=60.00
Closest atoms and distances in Å follow each position.
Fractional coordinates of all 4 atoms:
Pm 0.2500 0.2500 0.2500  4 Ca 3.62, 4 Mg 3.62
Ca 0.5000 0.5000 0.5000  4 Pm 3.62, 4 Sr 3.62
Mg 0.0000 0.0000 0.0000  4 Sr 3.62, 4 Pm 3.62
Sr 0.7500 0.7500 0.7500  4 Ca 3.62, 4 Mg 3.62

Properties
Volume (Å³ per atom): 36.44
DOS(E_F) (states/eV per cell): 6.59
Electronic total energy (eV/atom): -2.41


(2)
Below is an optimized crystal structure of CaTbPmMg, with properties calculated at the PBE-GGA level.

Unit cell a=5.6328 b=5.6328 c=5.6328 alpha=60.00 beta=60.00 gamma=60.00
Closest atoms and distances in Å follow each position.
Fractional coordinates of all 4 atoms:
Mg 0.5000 0.5000 0.5000  4 Tb 3.45, 4 Pm 3.45
Tb 0.7500 0.7500 0.7500  4 Mg 3.45, 4 Ca 3.45
Pm 0.2500 0.2500 0.2500  4 Mg 3.45, 4 Ca 3.45
Ca 0.0000 0.0000 0.0000  4 Tb 3.45, 4 Pm 3.45

Properties
Volume (Å³ per atom): 31.59
Relative energy among the computed polymorphs (eV/f.u.): 0.29
DOS(E_F) (states/eV per cell): 4.06
Electronic total energy (eV/atom): -3.19


(3)
Below is an optimized crystal structure of CaTbPmMg, with properties calculated at the PBE-GGA level.

Unit cell a=3.6429 b=3.6429 c=9.7710 alpha=90.00 beta=90.00 gamma=90.00
Closest atoms and distances in Å follow each position.
Fractional coordinates of all 4 atoms:
Pm 0.5000 0.5000 0.8018  4 Tb 3.54, 4 Pm 3.64, 4 Ca 3.86
Ca 0.0000 0.0000 0.0965  4 Mg 3.46, 4 Ca 3.64, 4 Pm 3.86
Mg 0.5000 0.5000 0.3335  4 Tb 3.35, 4 Ca 3.46, 4 Mg 3.64
Tb 0.0000 0.0000 0.5529  4 Mg 3.35, 4 Pm 3.54, 4 Tb 3.64

Properties
Volume (Å³ per atom): 32.42
Relative energy among the computed polymorphs (eV/f.u.): 0.00
DOS(E_F) (states/eV per cell): 5.36
Electronic total energy (eV/atom): -3.26


(4)
Below is an optimized crystal structure of CaPmTmMg, with properties calculated at the PBE-GGA level.

Unit cell a=3.6190 b=3.6190 c=9.7222 alpha=90.00 beta=90.00 gamma=90.00
Closest atoms and distances in Å follow each position.
Fractional coordinates of all 4 atoms:
Pm 0.5000 0.5000 0.7990  4 Tm 3.51, 4 Pm 3.62, 4 Ca 3.86
Tm 0.0000 0.0000 0.5526  4 Mg 3.31, 4 Pm 3.51, 4 Tm 3.62
Mg 0.5000 0.5000 0.3368  4 Tm 3.31, 4 Ca 3.47, 4 Mg 3.62
Ca 0.0000 0.0000 0.0962  4 Mg 3.47, 4 Ca 3.62, 4 Pm 3.86

Properties
Volume (Å³ per atom): 31.83
Relative energy among the computed polymorphs (eV/f.u.): 0.00
DOS(E_F) (states/eV per cell): 5.92
Electronic total energy (eV/atom): -3.21


(5)
Below is an optimized crystal structure of CaPmTmMg, with properties calculated at the PBE-GGA level.

Unit cell a=5.6287 b=5.6287 c=5.6287 alpha=60.00 beta=60.00 gamma=60.00
Closest atoms and distances in Å follow each position.
Fractional coordinates of all 4 atoms:
Mg 0.0000 0.0000 0.0000  4 Ca 3.45, 4 Pm 3.45
Ca 0.7500 0.7500 0.7500  4 Mg 3.45, 4 Tm 3.45
Pm 0.2500 0.2500 0.2500  4 Mg 3.45, 4 Tm 3.45
Tm 0.5000 0.5000 0.5000  4 Ca 3.45, 4 Pm 3.45

Properties
Volume (Å³ per atom): 31.52
Relative energy among the computed polymorphs (eV/f.u.): 0.34
DOS(E_F) (states/eV per cell): 2.75
Electronic total energy (eV/atom): -3.13


(6)
Below is an optimized crystal structure of CaPmYMg, with properties calculated at the PBE-GGA level.

Unit cell a=5.6352 b=5.6352 c=5.6352 alpha=60.00 beta=60.00 gamma=60.00
Closest atoms and distances in Å follow each position.
Fractional coordinates of all 4 atoms:
Ca 0.5000 0.5000 0.5000  4 Y 3.45, 4 Pm 3.45
Y 0.7500 0.7500 0.7500  4 Mg 3.45, 4 Ca 3.45
Mg 0.0000 0.0000 0.0000  4 Pm 3.45, 4 Y 3.45
Pm 0.2500 0.2500 0.2500  4 Ca 3.45, 4 Mg 3.45

Properties
Volume (Å³ per atom): 31.63
Relative energy among the computed polymorphs (eV/f.u.): 0.27
DOS(E_F) (states/eV per cell): 4.45
Electronic total energy (eV/atom): -3.65


(7)
Below is an optimized crystal structure of CaPmYMg, with properties calculated at the PBE-GGA level.

Unit cell a=3.6446 b=3.6446 c=9.7747 alpha=90.00 beta=90.00 gamma=90.00
Closest atoms and distances in Å follow each position.
Fractional coordinates of all 4 atoms:
Pm 0.5000 0.5000 0.8027  4 Y 3.56, 4 Pm 3.64, 4 Ca 3.86
Y 0.0000 0.0000 0.5516  4 Mg 3.34, 4 Pm 3.56, 4 Y 3.64
Ca 0.0000 0.0000 0.0969  4 Mg 3.46, 4 Ca 3.64, 4 Pm 3.86
Mg 0.5000 0.5000 0.3335  4 Y 3.34, 4 Ca 3.46, 4 Mg 3.64

Properties
Volume (Å³ per atom): 32.46
Relative energy among the computed polymorphs (eV/f.u.): 0.00
DOS(E_F) (states/eV per cell): 5.90
Electronic total energy (eV/atom): -3.72


(8)
Below is an optimized crystal structure of CaPmMgZn, with properties calculated at the PBE-GGA level.

Unit cell a=5.3454 b=5.3454 c=5.3454 alpha=60.00 beta=60.00 gamma=60.00
Closest atoms and distances in Å follow each position.
Fractional coordinates of all 4 atoms:
Pm 0.7500 0.7500 0.7500  4 Mg 3.27, 4 Zn 3.27
Mg 0.5000 0.5000 0.5000  4 Ca 3.27, 4 Pm 3.27
Ca 0.2500 0.2500 0.2500  4 Mg 3.27, 4 Zn 3.27
Zn 0.0000 0.0000 0.0000  4 Pm 3.27, 4 Ca 3.27

Properties
Volume (Å³ per atom): 27.00
Relative energy among the computed polymorphs (eV/f.u.): 0.09
DOS(E_F) (states/eV per cell): 3.22
Electronic total energy (eV/atom): -2.56


(9)
Below is an optimized crystal structure of CaPmMgZn, with properties calculated at the PBE-GGA level.

Unit cell a=3.7284 b=3.7284 c=7.8814 alpha=90.00 beta=90.00 gamma=90.00
Closest atoms and distances in Å follow each position.
Fractional coordinates of all 4 atoms:
Zn 0.5000 0.5000 0.1160  4 Pm 3.13, 4 Ca 3.22
Ca 0.0000 0.0000 0.8810  4 Zn 3.22, 4 Mg 3.44, 1 Pm 3.54
Mg 0.5000 0.5000 0.6013  4 Pm 3.40, 4 Ca 3.44, 4 Mg 3.73
Pm 0.0000 0.0000 0.3296  4 Zn 3.13, 4 Mg 3.40

Properties
Volume (Å³ per atom): 27.39
Relative energy among the computed polymorphs (eV/f.u.): 0.00
DOS(E_F) (states/eV per cell): 3.60
Electronic total energy (eV/atom): -2.59


(10)
Below is an optimized crystal structure of Ca2Pr3Mg3, with properties calculated at the PBE-GGA level.

Unit cell a=3.9346 b=5.6911 c=12.1174 alpha=103.58 beta=99.34 gamma=90.00
Closest atoms and distances in Å follow each position.
Fractional coordinates of all 8 atoms:
Ca 0.2652 0.7652 0.5303  2 Mg 3.37, 4 Ca 3.53
Ca 0.7348 0.2348 0.4697  2 Mg 3.37, 4 Ca 3.53
Pr 0.3818 0.3818 0.7636  6 Mg 3.38-3.46
Pr 0.5000 0.0000 0.0000  8 Mg 3.36-3.46
Pr 0.6182 0.6182 0.2364  6 Mg 3.38-3.46
Mg 0.8829 0.8829 0.7658  6 Pr 3.36-3.46, 2 Ca 3.37
Mg 0.1171 0.1171 0.2342  6 Pr 3.36-3.46, 2 Ca 3.37
Mg 0.0000 0.5000 0.0000  8 Pr 3.38-3.46

Properties
Volume (Å³ per atom): 32.51
DOS(E_F) (states/eV per cell): 9.67
Electronic total energy (eV/atom): -2.92


(11)
Below is an optimized crystal structure of Ca2PrMg5, with properties calculated at the PBE-GGA level.

Unit cell a=5.4438 b=5.4438 c=8.6037 alpha=108.44 beta=108.44 gamma=90.00
Closest atoms and distances in Å follow each position.
Fractional coordinates of all 8 atoms:
Mg 0.1173 0.6173 0.2345  2 Pr 3.27, 3 Mg 3.27-3.61, 4 Ca 3.36-3.45
Mg 0.8827 0.3827 0.7655  3 Mg 3.27-3.61, 2 Pr 3.27, 4 Ca 3.36-3.45
Mg 0.5000 0.5000 0.0000  8 Mg 3.27
Mg 0.6173 0.1173 0.2345  2 Pr 3.27, 3 Mg 3.27-3.61, 4 Ca 3.36-3.45
Mg 0.3827 0.8827 0.7655  3 Mg 3.27-3.61, 2 Pr 3.27, 4 Ca 3.36-3.45
Pr 0.0000 0.0000 0.0000  8 Mg 3.27
Ca 0.2551 0.2551 0.5101  8 Mg 3.36-3.45
Ca 0.7449 0.7449 0.4899  8 Mg 3.36-3.45

Properties
Volume (Å³ per atom): 28.50
DOS(E_F) (states/eV per cell): 5.04
Electronic total energy (eV/atom): -2.18


(12)
Below is an optimized crystal structure of Ca2PrMg3, with properties calculated at the PBE-GGA level.

Unit cell a=3.9006 b=3.9006 c=12.1380 alpha=90.00 beta=90.00 gamma=90.00
Closest atoms and distances in Å follow each position.
Fractional coordinates of all 6 atoms:
Mg 0.0000 0.0000 0.0000  8 Ca 3.43
Mg 0.0000 0.0000 0.6644  4 Pr 3.40, 4 Ca 3.43
Mg 0.0000 0.0000 0.3356  4 Pr 3.40, 4 Ca 3.43
Ca 0.5000 0.5000 0.1678  8 Mg 3.43
Ca 0.5000 0.5000 0.8322  8 Mg 3.43
Pr 0.5000 0.5000 0.5000  8 Mg 3.40

Properties
Volume (Å³ per atom): 30.78
DOS(E_F) (states/eV per cell): 7.56
Electronic total energy (eV/atom): -2.35